# 1
Computed, not measured: a geometry-optimized Dy4YPbS8 structure at the GGA-PBE level of DFT.

The structure in CIF format:
```
data_Dy4YPbS8
_cell_length_a 8.1447
_cell_length_b 8.1447
_cell_length_c 19.9806
_cell_angle_alpha 90.00
_cell_angle_beta 90.00
_cell_angle_gamma 120.00
_space_group_name_H-M_alt 'R 3 m'
_space_group_IT_number 160
_space_group_name_Hall 'R 3 -2"'
loop_
_atom_site_label
_atom_site_fract_x
_atom_site_fract_y
_atom_site_fract_z
Dy1 0.0000 0.0000 0.0000
Dy2 0.0051 0.5026 0.1258
Y1 0.0000 0.0000 0.6232
Pb1 0.0000 0.0000 0.2504
S1 0.0000 0.0000 0.3890
S2 0.0000 0.0000 0.8673
S3 0.0204 0.5102 0.3779
S4 0.1846 0.3692 0.2037
```

Calculated values
The value obtained for the uncorrected formation energy is -1772 meV/atom. As for the final energy: -6.17 eV per atom.

# 2
Computed, not measured: a geometry-optimized CdI2BrO structure at the GGA-PBE level of DFT.

The structure in CIF format:
```
data_CdI2BrO
_cell_length_a 6.191
_cell_length_b 6.191
_cell_length_c 4.098
_cell_angle_alpha 90.00
_cell_angle_beta 90.00
_cell_angle_gamma 90.00
_space_group_name_H-M_alt 'P 4/m m m'
_space_group_IT_number 123
_space_group_name_Hall '-P 4 2'
loop_
_atom_site_label
_atom_site_fract_x
_atom_site_fract_y
_atom_site_fract_z
Cd1 0.000 0.000 0.000
I1 0.000 0.500 0.000
Br1 0.500 0.500 0.500
O1 0.000 0.000 0.500
```

Calculated values
As for the energy above the most stable polymorph in this dataset: 0.0 meV/atom. The value obtained for the uncorrected formation energy is 188 meV/atom. As for the final energy: -1.94 eV per atom.

# 3
Computed, not measured: a geometry-optimized Th5Te5Ru structure at the GGA-PBE level of DFT.

The structure in CIF format:
```
data_Th5Te5Ru
_cell_length_a 13.979
_cell_length_b 6.275
_cell_length_c 8.808
_cell_angle_alpha 90.00
_cell_angle_beta 109.58
_cell_angle_gamma 90.00
_space_group_name_H-M_alt 'C 1 2/m 1'
_space_group_IT_number 12
loop_
_space_group_symop_operation_xyz
'x,y,z'
'-x,-y,-z'
'-x,y,-z'
'x,-y,z'
'x+1/2,y+1/2,z'
'-x+1/2,-y+1/2,-z'
'-x+1/2,y+1/2,-z'
'x+1/2,-y+1/2,z'
loop_
_atom_site_label
_atom_site_fract_x
_atom_site_fract_y
_atom_site_fract_z
Th1 0.000 0.000 0.000
Th2 0.146 0.500 0.293
Th3 0.156 0.500 0.856
Te1 0.000 0.500 0.500
Te2 0.154 0.000 0.804
Te3 0.181 0.000 0.343
Ru1 0.000 0.500 0.000
```

Calculated values
The value obtained for the uncorrected formation energy is -1035 meV/atom. As for the final energy: -6.68 eV per atom.

# 4
Computed, not measured: a geometry-optimized SrBe2Co structure at the GGA-PBE level of DFT.

The structure in CIF format:
```
data_SrBe2Co
_cell_length_a 3.004
_cell_length_b 3.557
_cell_length_c 6.117
_cell_angle_alpha 90.00
_cell_angle_beta 100.05
_cell_angle_gamma 90.00
_space_group_name_H-M_alt 'P 1 m 1'
_space_group_IT_number 6
loop_
_space_group_symop_operation_xyz
'x,y,z'
'x,-y,z'
loop_
_atom_site_label
_atom_site_fract_x
_atom_site_fract_y
_atom_site_fract_z
Sr1 0.000 0.000 0.000
Be1 0.627 0.500 0.335
Be2 0.669 0.000 0.528
Co1 0.215 0.500 0.581
```

Calculated values
As for the energy above the most stable polymorph in this dataset: 284.6 meV/atom. The formation energy from the elements comes out at 0.337 eV per atom. As for the final energy: -3.72 eV per atom.

# 5
Computed, not measured: a geometry-optimized K2LiNd4Nb2O12 structure at the GGA-PBE level of DFT.

The structure in CIF format:
```
data_K2LiNd4Nb2O12
_cell_length_a 5.833
_cell_length_b 7.074
_cell_length_c 8.810
_cell_angle_alpha 104.05
_cell_angle_beta 90.21
_cell_angle_gamma 114.19
_space_group_name_H-M_alt 'P 1'
_space_group_IT_number 1
loop_
_space_group_symop_operation_xyz
'x,y,z'
loop_
_atom_site_label
_atom_site_fract_x
_atom_site_fract_y
_atom_site_fract_z
K1 0.000 0.000 0.000
K2 0.282 0.417 0.924
Li1 0.177 0.734 0.051
Nd1 0.017 0.942 0.528
Nd2 0.276 0.469 0.405
Nd3 0.574 0.061 0.280
Nd4 0.746 0.395 0.674
Nb1 0.490 0.895 0.763
Nb2 0.782 0.533 0.182
O1 0.152 0.790 0.265
O2 0.156 0.687 0.629
O3 0.367 0.111 0.756
O4 0.403 0.222 0.478
O5 0.446 0.306 0.179
O6 0.471 0.861 0.971
O7 0.615 0.681 0.643
O8 0.656 0.745 0.304
O9 0.829 0.110 0.759
O10 0.848 0.573 0.967
O11 0.907 0.215 0.478
O12 0.929 0.327 0.187
```

Calculated values
As for the energy above the most stable polymorph in this dataset: 43.2 meV/atom. The value obtained for the uncorrected formation energy is -2744 meV/atom. As for the final energy: -7.64 eV per atom.

# 6
Computed, not measured: a geometry-optimized Ce3NdSm4P8 structure at the GGA-PBE level of DFT.

The structure in CIF format:
```
data_Ce3NdSm4P8
_cell_length_a 8.2131
_cell_length_b 8.2131
_cell_length_c 20.1019
_cell_angle_alpha 90.00
_cell_angle_beta 90.00
_cell_angle_gamma 120.00
_space_group_name_H-M_alt 'R -3 m'
_space_group_IT_number 166
_space_group_name_Hall '-R 3 2"'
loop_
_atom_site_label
_atom_site_fract_x
_atom_site_fract_y
_atom_site_fract_z
Ce1 0.0000 0.5000 0.0000
Nd1 0.0000 0.0000 0.0000
Sm1 0.0000 0.0000 0.5000
Sm2 0.0000 0.5000 0.5000
P1 0.0000 0.0000 0.2511
P2 0.0039 0.5019 0.2507
```

Calculated values
The formation energy from the elements comes out at -1.548 eV per atom. As for the final energy: -6.84 eV per atom.

Q: What is the formula in the first record?
A: Dy4YPbS8